{"formula": "MnCuNO2", "functional": "GGA+U", "state": "optimized geometry", "e_tot_ev_per_cell": -28.4, "space_group": "P4/mmm", "dos_at_fermi_per_ev_atom": 0.587, "lattice": [[3.9089, 0.0000, 0.0000], [0.0000, 3.9089, 0.0000], [0.0000, 0.0000, 3.5788]], "species": ["Mn", "Cu", "N", "O", "O"], "frac_coords": [[0.0000, 0.0000, 0.0000], [0.5000, 0.5000, 0.5000], [0.5000, 0.5000, 0.0000], [0.0000, 0.5000, 0.5000], [0.5000, 0.0000, 0.5000]]}